! SrLa2Tc GGA-PBE relaxed; values from VASP
! Formation enthalpy at 0 K = 160.6 meV per atom
! Calculated density = 5.8 g/cm3
! Symmetry = Immm
! Energy relative to the lowest polymorph listed for this composition = 0.0579 eV/atom
! Final energy = -5.3150 eV/atom
&SYSTEM
  ibrav = 0, nat = 4, ntyp = 3
/
ATOMIC_SPECIES
La 138.91 La.upf
Sr 87.62 Sr.upf
Tc 98.00 Tc.upf
ATOMIC_POSITIONS crystal
La 0.4271 0.4271 0.0000
La 0.0729 0.0729 0.0000
Sr 0.7500 0.2500 0.5000
Tc 0.2500 0.7500 0.5000
CELL_PARAMETERS angstrom
6.5468 0.0024 -0.0024
2.3151 6.1237 0.0024
-3.4809 -4.4374 3.3246

---

! Mg3TiW GGA-PBE relaxed; values from VASP
! Formation enthalpy at 0 K = 1564.4 meV per atom
! Calculated density = 3.9 g/cm3
! Symmetry = Pm-3m
! Energy relative to the lowest polymorph listed for this composition = 0.0000 eV/atom
! Final energy = -3.5620 eV/atom
&SYSTEM
  ibrav = 0, nat = 5, ntyp = 3
/
ATOMIC_SPECIES
Mg 24.30 Mg.upf
W 183.84 W.upf
Ti 47.87 Ti.upf
ATOMIC_POSITIONS crystal
Mg 0.5000 0.0000 0.0000
Mg 0.0000 0.5000 0.0000
Mg 0.0000 0.0000 0.5000
W 0.0000 0.0000 0.0000
Ti 0.5000 0.5000 0.5000
CELL_PARAMETERS angstrom
5.0466 0.0000 0.0000
0.0000 5.0466 0.0000
0.0000 0.0000 5.0466

---

! Ac6Bi3Sb2Se GGA-PBE relaxed; values from VASP
! Formation energy from raw total energies = -1.2230 eV per atom
! Calculated density = 8.2 g/cm3
! Symmetry = C2/m
! Final energy = -5.2249 eV/atom
&SYSTEM
  ibrav = 0, nat = 12, ntyp = 4
/
ATOMIC_SPECIES
Ac 227.00 Ac.upf
Sb 121.76 Sb.upf
Bi 208.98 Bi.upf
Se 78.96 Se.upf
ATOMIC_POSITIONS crystal
Ac 0.9997 0.7554 0.9993
Ac 0.3363 0.9153 0.6726
Ac 0.3321 0.4195 0.6642
Ac 0.6679 0.5805 0.3358
Ac 0.6637 0.0847 0.3274
Ac 0.0003 0.2446 0.0007
Sb 0.1652 0.3307 0.3303
Sb 0.8348 0.6693 0.6697
Bi 0.8331 0.1654 0.6661
Bi 0.5000 0.5000 0.0000
Bi 0.1669 0.8346 0.3339
Se 0.5000 0.0000 0.0000
CELL_PARAMETERS angstrom
4.7972 0.0000 0.0000
0.0000 9.5715 0.3454
-2.3986 -2.7533 10.0611

---

! NaGa12Ir4 GGA-PBE relaxed; values from VASP
! Formation enthalpy at 0 K = -277.4 meV per atom
! Calculated density = 6.0 g/cm3
! Symmetry = Im-3m
! Final energy = -4.5765 eV/atom
&SYSTEM
  ibrav = 0, nat = 17, ntyp = 3
/
ATOMIC_SPECIES
Ga 69.72 Ga.upf
Ir 192.22 Ir.upf
Na 22.99 Na.upf
ATOMIC_POSITIONS crystal
Ga 0.7480 0.4963 0.7483
Ga 0.7483 0.7480 0.4963
Ga 0.2520 0.5037 0.2517
Ga 0.2517 0.7480 0.9997
Ga 0.7483 0.2520 0.0003
Ga 0.2520 0.0003 0.7483
Ga 0.4963 0.7483 0.7480
Ga 0.0003 0.7483 0.2520
Ga 0.5037 0.2517 0.2520
Ga 0.9997 0.2517 0.7480
Ga 0.7480 0.9997 0.2517
Ga 0.2517 0.2520 0.5037
Ir 0.5000 0.5000 0.5000
Ir 0.5000 0.0000 0.0000
Ir 0.0000 0.0000 0.5000
Ir 0.0000 0.5000 0.0000
Na 0.0000 0.0000 0.0000
CELL_PARAMETERS angstrom
8.3632 0.0000 0.0000
-2.7877 7.8849 0.0000
-2.7877 -3.9424 6.8285

---

| no. | V (Å³/atom) |
| --- | --- |
| 1 | 33.33 |
| 2 | 25.71 |
| 3 | 38.88 |
| 4 | 26.49 |